1.
Be2AsRh: relaxed, PBEsol.

Properties
For the formation energy from the elements, the calculation gives -0.2440 eV per atom.

Unit cell a=2.906 b=3.192 c=4.934 alpha=90.00 beta=90.00 gamma=90.00
Element x y z (fractional)
1 Be 0.000 0.000 0.233
2 Be 0.000 0.000 0.767
3 As 0.500 0.500 0.500
4 Rh 0.500 0.500 0.000

***

2.
LaCuTe2I: relaxed, PBEsol.

Unit cell a=6.081 b=6.081 c=6.076 alpha=90.00 beta=90.00 gamma=90.00
Element x y z (fractional)
1 La 0.000 0.000 0.000
2 Cu 0.500 0.500 0.500
3 Te 0.000 0.500 0.000
4 Te 0.500 0.000 0.000
5 I 0.000 0.000 0.500

***

3.
BaTa2Ru: relaxed, PBEsol.

Properties
The energy relative to the lowest polymorph listed for this composition comes out at 146.6 meV per atom. For the formation energy from the elements, the calculation gives 0.5196 eV per atom.

Unit cell a=3.265 b=3.265 c=8.147 alpha=90.00 beta=90.00 gamma=90.00
Element x y z (fractional)
1 Ba 0.000 0.000 0.000
2 Ta 0.500 0.500 0.333
3 Ta 0.500 0.500 0.667
4 Ru 0.000 0.000 0.500

***

Calculated total energy across the listed records, respectively: -22.2; -17.5; -35.3 eV/cell.
M_tot across the listed records, respectively: 0.0; 0.0; 0.0 μB per formula unit.